Computed, not measured: an optimized crystal structure of Be2BiN at the GGA-PBEsol level of DFT.

Lattice parameters (Å, degrees): 5.302 5.463 5.302 60.97 90.00 119.03
Sites, in units of the cell vectors:
Be: 0.419 0.750 0.375
Be: 0.331 0.750 0.875
Be: 0.875 0.250 0.419
Be: 0.375 0.250 0.331
Bi: 0.750 0.500 0.750
Bi: 0.000 0.000 0.000
N: 0.250 0.500 0.250
N: 0.500 0.000 0.500

Properties
- Energy relative to the elements, uncorrected: -0.227 eV/atom
- SG: No. 122
- DOS(E_F): 3.490 states/eV/cell
- Total DFT energy (no corrections): -5.430 eV per atom



Computed, not measured: an optimized crystal structure of InHg3 at the GGA-PBEsol level of DFT.

Lattice parameters (Å, degrees): 5.129 5.129 5.129 60.00 60.00 60.00
Sites, in units of the cell vectors:
Hg: 0.250 0.250 0.250
Hg: 0.500 0.500 0.500
Hg: 0.750 0.750 0.750
In: 0.000 0.000 0.000

Properties
- SG: No. 225
- DOS(E_F): 1.082 states/eV/cell
- Total DFT energy (no corrections): -1.182 eV per atom



Computed, not measured: an optimized crystal structure of TlReSb2 at the GGA-PBEsol level of DFT.

Lattice parameters (Å, degrees): 4.879 4.948 4.879 60.46 90.00 119.54
Sites, in units of the cell vectors:
Re: 0.000 0.000 0.000
Sb: 0.250 0.500 0.250
Sb: 0.750 0.500 0.750
Tl: 0.500 0.000 0.500

Properties
- Energy relative to the elements, uncorrected: 0.753 eV/atom
- SG: No. 139
- DOS(E_F): 3.481 states/eV/cell
- Total DFT energy (no corrections): -5.516 eV per atom